(1)
The following is a DFT calculation (PBE) of crystalline ZnTe2Cl at its relaxed geometry.

```
ZnTe2Cl
1.0
4.2286 -0.0227 0.0000
-2.5900 3.3427 0.0000
0.0000 0.0000 9.3883
Te Cl Zn
2 1 1
direct
0.5000 0.5000 0.2829
0.0000 0.0000 0.0529
0.5000 0.5000 0.6622
0.0000 0.0000 0.5020
```

Results
For the uncorrected formation energy, the calculation gives -0.18 eV/atom. Its electronic total energy is -2.528 eV per atom. As for the crystal system: orthorhombic. For the total magnetization, the calculation gives 0.000 μB per formula unit. The density of states at the Fermi level is 0.11 states/eV/atom. The space-group type is Cmm2, No. 35.

(2)
The following is a DFT calculation (PBE) of crystalline ZnTe2Cl at its relaxed geometry.

```
ZnTe2Cl
1.0
-2.4260 4.7744 -4.9688
-2.4465 -2.9324 -1.6232
-3.0553 1.1250 2.5727
Te Zn Cl
2 1 1
direct
0.0000 0.5000 0.5000
0.0000 0.0000 0.0000
0.5000 0.5000 0.0000
0.5000 0.0000 0.5000
```

Results
For the uncorrected formation energy, the calculation gives 0.06 eV/atom. Its electronic total energy is -2.290 eV per atom. As for the crystal system: tetragonal. For the total magnetization, the calculation gives 0.000 μB per formula unit. The density of states at the Fermi level is 1.02 states/eV/atom. The space-group type is P4/mmm, No. 123.

(3)
The following is a DFT calculation (PBE) of crystalline ZnTe2Cl at its relaxed geometry.

```
ZnTe2Cl
1.0
2.4087 0.0000 8.2445
-1.2044 2.0860 8.2445
-1.2044 -2.0860 8.2445
Cl Te Zn
1 2 1
direct
0.0000 0.0000 0.0000
0.8918 0.8918 0.8918
0.1082 0.1082 0.1082
0.5000 0.5000 0.5000
```

Results
For the uncorrected formation energy, the calculation gives -0.10 eV/atom. Its electronic total energy is -2.447 eV per atom. As for the crystal system: trigonal. For the total magnetization, the calculation gives 0.000 μB per formula unit. The density of states at the Fermi level is 1.17 states/eV/atom. The space-group type is R-3m, No. 166.

(4)
The following is a DFT calculation (PBE) of crystalline ZrTe2Cl12 at its relaxed geometry.

```
ZrTe2Cl12
1.0
11.8627 0.0000 0.0000
5.9314 10.2734 0.0000
5.9314 3.4245 25.6402
Cl Te Zr
72 12 6
direct
0.8427 0.5416 0.0700
0.4584 0.4542 0.9300
0.3258 0.7138 0.5719
0.0379 0.0776 0.1828
0.7851 0.8050 0.3177
0.4542 0.1573 0.9300
0.4312 0.1350 0.3057
0.9584 0.6573 0.4300
0.5776 0.5379 0.6828
0.2862 0.6115 0.4281
0.5688 0.8650 0.6943
0.7121 0.6794 0.5707
0.2017 0.5776 0.6828
0.2879 0.3206 0.4293
0.8258 0.8885 0.0719
0.9077 0.2149 0.6823
0.8885 0.2138 0.0719
0.4077 0.6950 0.1823
0.0458 0.0416 0.5700
0.6950 0.7149 0.1823
0.0688 0.3719 0.1943
0.8206 0.7879 0.9293
0.7138 0.3885 0.5719
0.1950 0.9077 0.6823
0.1742 0.1115 0.9281
0.5458 0.8427 0.0700
0.9312 0.6281 0.8057
0.7149 0.4077 0.1823
0.6115 0.6742 0.4281
0.3050 0.2851 0.8177
0.5379 0.2017 0.6828
0.7983 0.4224 0.3172
0.3650 0.0688 0.1943
0.7862 0.1742 0.9281
0.0378 0.7121 0.5707
0.2149 0.1950 0.6823
0.2983 0.9621 0.8172
0.7017 0.0379 0.1828
0.9621 0.9224 0.8172
0.1573 0.4584 0.9300
0.1794 0.2121 0.0707
0.5923 0.3050 0.8177
0.9542 0.9584 0.4300
0.4224 0.4621 0.3172
0.4621 0.7983 0.3172
0.6281 0.6350 0.8057
0.2851 0.5923 0.8177
0.0776 0.7017 0.1828
0.9622 0.2879 0.4293
0.5416 0.5458 0.0700
0.3885 0.3258 0.5719
0.8050 0.0923 0.3177
0.3206 0.9622 0.4293
0.1115 0.7862 0.9281
0.2138 0.8258 0.0719
0.0416 0.3427 0.5700
0.9224 0.2983 0.8172
0.3719 0.3650 0.1943
0.2121 0.5378 0.0707
0.8719 0.5688 0.6943
0.8650 0.8719 0.6943
0.6794 0.0378 0.5707
0.1281 0.4312 0.3057
0.0923 0.7851 0.3177
0.6742 0.2862 0.4281
0.1350 0.1281 0.3057
0.7879 0.4622 0.9293
0.6350 0.9312 0.8057
0.6573 0.9542 0.4300
0.4622 0.8206 0.9293
0.5378 0.1794 0.0707
0.3427 0.0458 0.5700
0.4768 0.1223 0.6255
0.6223 0.9768 0.1255
0.3777 0.0232 0.8745
0.7753 0.4768 0.6255
0.9768 0.2753 0.1255
0.7247 0.3777 0.8745
0.1223 0.7753 0.6255
0.8777 0.2247 0.3745
0.2753 0.6223 0.1255
0.0232 0.7247 0.8745
0.2247 0.5232 0.3745
0.5232 0.8777 0.3745
0.8752 0.8752 0.3744
0.1248 0.1248 0.6256
0.2500 0.2500 0.2500
0.6248 0.6248 0.1256
0.3752 0.3752 0.8744
0.7500 0.7500 0.7500
```

Results
For the uncorrected formation energy, the calculation gives -1.00 eV/atom. Its electronic total energy is -3.469 eV per atom. As for the crystal system: trigonal. For the total magnetization, the calculation gives 0.000 μB per formula unit. The density of states at the Fermi level is 0.00 states/eV/atom. The space-group type is R-3c, No. 167.